(1)
Al2P6Pb5 (GGA-PBE, relaxed); total magnetic moment = 0.00 μB per formula unit; E_tot = -4.53 eV/atom
1.0
6.7802 0.0000 0.0000
0.0000 22.5453 0.0000
0.0000 0.0000 4.1096
Al P Pb
4 12 10
direct
0.2210 0.1156 0.0000
0.2790 0.6156 0.0000
0.7210 0.3844 0.0000
0.7790 0.8844 0.0000
0.0008 0.3180 0.0000
0.0330 0.1337 0.5000
0.1665 0.5084 0.0000
0.3335 0.0084 0.0000
0.4670 0.6337 0.5000
0.4992 0.8180 0.0000
0.5008 0.1820 0.0000
0.5330 0.3663 0.5000
0.6665 0.9916 0.0000
0.8335 0.4916 0.0000
0.9670 0.8663 0.5000
0.9992 0.6820 0.0000
0.0000 0.0000 0.5000
0.1133 0.4042 0.5000
0.2038 0.7503 0.5000
0.2962 0.2503 0.5000
0.3867 0.9042 0.5000
0.5000 0.5000 0.5000
0.6133 0.0958 0.5000
0.7038 0.7497 0.5000
0.7962 0.2497 0.5000
0.8867 0.5958 0.5000

---

(2)
TlCd2Ga (GGA-PBE, relaxed); total magnetic moment = 0.00 μB per formula unit; E above lowest polymorph = 0.141 eV per formula unit; E_tot = -1.70 eV/atom
1.0
7.3475 0.0000 0.0000
0.0000 7.3475 0.0000
0.0000 0.0000 7.3475
Tl Cd Ga
4 8 4
direct
0.0000 0.0000 0.0000
0.0000 0.5000 0.5000
0.5000 0.0000 0.5000
0.5000 0.5000 0.0000
0.2500 0.2500 0.2500
0.2500 0.2500 0.7500
0.2500 0.7500 0.2500
0.2500 0.7500 0.7500
0.7500 0.2500 0.2500
0.7500 0.2500 0.7500
0.7500 0.7500 0.2500
0.7500 0.7500 0.7500
0.0000 0.0000 0.5000
0.0000 0.5000 0.0000
0.5000 0.0000 0.0000
0.5000 0.5000 0.5000

---

(3)
PrScPb (GGA-PBE, relaxed); total magnetic moment = 0.00 μB per formula unit; E above lowest polymorph = 0.052 eV per formula unit; E_tot = -5.39 eV/atom
1.0
8.2514 0.0000 0.0000
-4.1257 7.1459 0.0000
0.0000 0.0000 4.4383
Pr Sc Pb
3 3 3
direct
0.0000 0.5996 0.0000
0.4004 0.4004 0.0000
0.5996 0.0000 0.0000
0.0000 0.2558 0.5000
0.2558 0.0000 0.5000
0.7442 0.7442 0.5000
0.0000 0.0000 0.0000
0.3333 0.6667 0.5000
0.6667 0.3333 0.5000

---

(4)
Al3Se5 (GGA-PBE, relaxed); total magnetic moment = 0.00 μB per formula unit; E above lowest polymorph = 3.399 eV per formula unit; E_tot = -3.75 eV/atom
1.0
7.2836 0.0000 0.0000
-3.6418 6.3078 0.0000
0.0000 0.0000 7.6510
Al Se
6 10
direct
0.0000 0.4011 0.2500
0.0000 0.5989 0.7500
0.4011 0.0000 0.2500
0.4011 0.4011 0.7500
0.5989 0.0000 0.7500
0.5989 0.5989 0.2500
0.0000 0.2631 0.7500
0.0000 0.7369 0.2500
0.2631 0.0000 0.7500
0.2631 0.2631 0.2500
0.3333 0.6667 0.0000
0.3333 0.6667 0.5000
0.6667 0.3333 0.0000
0.6667 0.3333 0.5000
0.7369 0.0000 0.2500
0.7369 0.7369 0.7500

---

(5)
CsSnCl5 (GGA-PBE, relaxed); total magnetic moment = 0.00 μB per formula unit; E_tot = -3.27 eV/atom
1.0
6.7582 -3.7664 0.0000
6.7582 3.7664 0.0000
-4.1619 0.0000 9.7753
Cs Sn Cl
2 2 10
direct
0.0004 0.9996 0.2500
0.9996 0.0004 0.7500
0.5000 0.5000 0.0000
0.5000 0.5000 0.5000
0.1342 0.5939 0.9324
0.1355 0.5896 0.4313
0.4061 0.8658 0.5676
0.4104 0.8645 0.0687
0.4991 0.5009 0.7500
0.5009 0.4991 0.2500
0.5896 0.1355 0.9313
0.5939 0.1342 0.4324
0.8645 0.4104 0.5687
0.8658 0.4061 0.0676

---

(6)
Dy4Ag3 (GGA-PBE, relaxed); total magnetic moment = 0.00 μB per formula unit; E above lowest polymorph = 0.000 eV per formula unit; E_tot = -4.06 eV/atom
1.0
6.8911 3.9786 2.1326
-6.8911 3.9786 2.1326
0.0000 -7.9572 2.1326
Dy Ag
8 6
direct
0.0000 0.0000 0.0000
0.0780 0.6310 0.7788
0.2212 0.9220 0.3690
0.3690 0.2212 0.9220
0.5000 0.5000 0.5000
0.6310 0.7788 0.0780
0.7788 0.0780 0.6310
0.9220 0.3690 0.2212
0.1303 0.2615 0.5381
0.2615 0.5381 0.1303
0.4619 0.8697 0.7385
0.5381 0.1303 0.2615
0.7385 0.4619 0.8697
0.8697 0.7385 0.4619